AcPmAlSi after structural relaxation, computed with PBE.

For the relative energy among the computed polymorphs, the calculation gives 0.000 eV/atom. The formation energy without anion corrections comes out at -2.112 eV per formula unit.

The structure belongs to space group Amm2 (No. 38); the cell edges are 4.158, 4.582 and 11.755 Å and the angles 90.00°, 90.00° and 90.00°. The distinct sites, in fractional coordinates, are Ac at (0.000, 0.000, 0.000), Pm at (0.500, 0.000, 0.718), Al at (0.000, 0.000, 0.286) and Si at (0.500, 0.000, 0.417).